Record 1
The following is a DFT calculation (PBE-GGA) of a relaxed AlTl2S8 crystal.

The crystal system is triclinic. Its space group is P-1 (2). The total energy is -3.94 eV/atom. The value obtained for the total magnetization is 0.00 μB per cell.

abc: 15.1479 8.4522 9.8077
angles: 35.42 23.78 42.24
Closest atoms and distances in Å follow each position.
Fractional coordinates of all 11 atoms:
Al: 0.0000 0.0000 0.0000  6 S 2.30-2.54
Tl: 0.7451 0.8138 0.0492  5 S 3.07-3.19
Tl: 0.2549 0.1862 0.9508  5 S 3.07-3.19
S: 0.0880 0.0580 0.6081  1 S 2.12, 1 Al 2.30
S: 0.2357 0.4336 0.3792  1 S 1.97
S: 0.7336 0.2413 0.3275  1 S 2.12, 1 Al 2.35
S: 0.2664 0.7587 0.6725  1 S 2.12, 1 Al 2.35
S: 0.7643 0.5664 0.6208  1 S 1.97
S: 0.9120 0.9420 0.3919  1 S 2.12, 1 Al 2.30
S: 0.3407 0.5729 0.3105  1 S 1.97
S: 0.6593 0.4271 0.6895  1 S 1.97

=====

Record 2
The following is a DFT calculation (PBE-GGA) of a relaxed LaMg2Au crystal.

The crystal system is tetragonal. Its space group is P4mm (99). The value obtained for the total magnetization is 0.00 μB per cell. The value obtained for the energy of formation from the pure elements is -0.3824 eV per atom.

abc: 3.5076 3.5054 7.9936
angles: 90.00 90.00 90.00
Closest atoms and distances in Å follow each position.
Fractional coordinates of all 4 atoms:
Au: 0.0000 0.0000 0.4575  4 Mg 2.85
La: 0.5000 0.5000 0.7188  4 Au 3.24, 5 Mg 3.49-3.58, 4 La 3.51
Mg: 0.0000 0.0000 0.0413  8 Mg 3.14-3.51, 1 Au 3.33
Mg: 0.5000 0.5000 0.2825  4 Au 2.85, 4 Mg 3.14

=====

Record 3
The following is a DFT calculation (PBE-GGA) of a relaxed K2AuN2 crystal.

The crystal system is tetragonal. Its space group is P4/mbm (127). The value obtained for the total magnetization is 1.98 μB per cell. Its offset from the most stable computed form is 0 meV/atom.

abc: 8.1417 8.1417 3.6480
angles: 90.00 90.00 90.00
Closest atoms and distances in Å follow each position.
Fractional coordinates of all 10 atoms:
K: 0.2341 0.7341 0.5000  6 N 3.07-3.31, 4 Au 3.41
K: 0.7341 0.7659 0.5000  6 N 3.07-3.31, 4 Au 3.41
K: 0.7659 0.2659 0.5000  6 N 3.07-3.31, 4 Au 3.41
K: 0.2659 0.2341 0.5000  6 N 3.07-3.31, 4 Au 3.41
Au: 0.0000 0.0000 0.0000  8 K 3.41, 2 Au 3.65, 4 N 3.68
Au: 0.5000 0.5000 0.0000  8 K 3.41, 2 Au 3.65, 4 N 3.68
N: 0.4489 0.9489 0.0000  1 N 1.18
N: 0.9489 0.5511 0.0000  1 N 1.18
N: 0.5511 0.0511 0.0000  1 N 1.18
N: 0.0511 0.4489 0.0000  1 N 1.18

=====

Record 4
The following is a DFT calculation (PBE-GGA) of a relaxed RbGaP2Pd crystal.

The crystal system is tetragonal. Its space group is P4/mmm (123). The value obtained for the total magnetization is 0.00 μB per cell. The value obtained for the energy of formation from the pure elements is 0.4311 eV per atom.

abc: 4.7281 5.8003 4.7281
angles: 90.00 90.00 90.00
Closest atoms and distances in Å follow each position.
Fractional coordinates of all 5 atoms:
P: 0.0000 0.0000 0.5000  2 Pd 2.36
P: 0.5000 0.0000 0.0000  2 Pd 2.36
Ga: 0.5000 0.5000 0.5000  4 Rb 3.34, 8 P 3.74
Rb: 0.0000 0.5000 0.0000  2 Pd 2.90
Pd: 0.0000 0.0000 0.0000  4 P 2.36

=====

Record 5
The following is a DFT calculation (PBE-GGA) of a relaxed Pm5Gd3H12 crystal.

The crystal system is cubic. Its space group is Ia-3d (230). The total energy is -5.76 eV/atom. The value obtained for the total magnetization is 96.08 μB per cell.

abc: 11.6188 11.6188 11.6188
angles: 109.47 109.47 109.47
Closest atoms and distances in Å follow each position.
Fractional coordinates of all 80 atoms:
Gd: 0.7500 0.3750 0.1250  8 H 2.31-2.44
Gd: 0.8750 0.7500 0.1250  8 H 2.31-2.44
Gd: 0.3750 0.7500 0.6250  8 H 2.31-2.44
Gd: 0.2500 0.1250 0.3750  8 H 2.31-2.44
Gd: 0.8750 0.1250 0.2500  8 H 2.31-2.44
Gd: 0.3750 0.6250 0.2500  8 H 2.31-2.44
Gd: 0.6250 0.3750 0.7500  8 H 2.31-2.44
Gd: 0.1250 0.8750 0.7500  8 H 2.31-2.44
Gd: 0.7500 0.8750 0.6250  8 H 2.31-2.44
Gd: 0.6250 0.2500 0.3750  8 H 2.31-2.44
Gd: 0.1250 0.2500 0.8750  8 H 2.31-2.44
Gd: 0.2500 0.6250 0.8750  8 H 2.31-2.44
Pm: 0.1250 0.3750 0.2500  4 H 2.28
Pm: 0.0000 0.5000 0.0000  6 H 2.31
Pm: 0.0000 0.0000 0.0000  6 H 2.31
Pm: 0.3750 0.2500 0.1250  4 H 2.28
Pm: 0.5000 0.0000 0.5000  6 H 2.31
Pm: 0.5000 0.5000 0.0000  6 H 2.31
Pm: 0.1250 0.7500 0.3750  4 H 2.28
Pm: 0.7500 0.1250 0.8750  4 H 2.28
Pm: 0.7500 0.6250 0.3750  4 H 2.28
Pm: 0.3750 0.1250 0.7500  4 H 2.28
Pm: 0.6250 0.8750 0.2500  4 H 2.28
Pm: 0.5000 0.5000 0.5000  6 H 2.31
Pm: 0.5000 0.0000 0.0000  6 H 2.31
Pm: 0.0000 0.0000 0.5000  6 H 2.31
Pm: 0.2500 0.3750 0.6250  4 H 2.28
Pm: 0.2500 0.8750 0.1250  4 H 2.28
Pm: 0.0000 0.5000 0.5000  6 H 2.31
Pm: 0.8750 0.2500 0.6250  4 H 2.28
Pm: 0.6250 0.7500 0.8750  4 H 2.28
Pm: 0.8750 0.6250 0.7500  4 H 2.28
H: 0.7273 0.1555 0.0694  2 Pm 2.28-2.31, 2 Gd 2.31-2.44, 1 H 2.31
H: 0.3420 0.5694 0.4139  2 Pm 2.28-2.31, 2 Gd 2.31-2.44, 1 H 2.31
H: 0.9306 0.3445 0.2727  2 Pm 2.28-2.31, 2 Gd 2.31-2.44, 1 H 2.31
H: 0.5694 0.2273 0.1555  2 Pm 2.28-2.31, 2 Gd 2.31-2.44, 1 H 2.31
H: 0.5719 0.7273 0.6580  2 Pm 2.28-2.31, 2 Gd 2.31-2.44, 1 H 2.31
H: 0.9306 0.5861 0.1580  2 Pm 2.28-2.31, 2 Gd 2.31-2.44, 1 H 2.31
H: 0.3420 0.7727 0.4281  2 Pm 2.28-2.31, 2 Gd 2.31-2.44, 1 H 2.31
H: 0.0861 0.9281 0.1555  2 Pm 2.28-2.31, 2 Gd 2.31-2.44, 1 H 2.31
H: 0.5861 0.9306 0.6580  2 Pm 2.28-2.31, 2 Gd 2.31-2.44, 1 H 2.31
H: 0.7273 0.5719 0.1580  2 Pm 2.28-2.31, 2 Gd 2.31-2.44, 1 H 2.31
H: 0.7727 0.4306 0.3445  2 Pm 2.28-2.31, 2 Gd 2.31-2.44, 1 H 2.31
H: 0.8420 0.9139 0.0694  2 Pm 2.28-2.31, 2 Gd 2.31-2.44, 1 H 2.31
H: 0.1555 0.7273 0.5694  2 Pm 2.28-2.31, 2 Gd 2.31-2.44, 1 H 2.31
H: 0.3445 0.4139 0.0719  2 Pm 2.28-2.31, 2 Gd 2.31-2.44, 1 H 2.31
H: 0.0719 0.9139 0.3445  2 Pm 2.28-2.31, 2 Gd 2.31-2.44, 1 H 2.31
H: 0.4281 0.1555 0.5861  2 Pm 2.28-2.31, 2 Gd 2.31-2.44, 1 H 2.31
H: 0.0719 0.1580 0.2273  2 Pm 2.28-2.31, 2 Gd 2.31-2.44, 1 H 2.31
H: 0.4306 0.6580 0.0861  2 Pm 2.28-2.31, 2 Gd 2.31-2.44, 1 H 2.31
H: 0.8420 0.9281 0.2727  2 Pm 2.28-2.31, 2 Gd 2.31-2.44, 1 H 2.31
H: 0.1555 0.4281 0.0861  2 Pm 2.28-2.31, 2 Gd 2.31-2.44, 1 H 2.31
H: 0.3445 0.9306 0.7727  2 Pm 2.28-2.31, 2 Gd 2.31-2.44, 1 H 2.31
H: 0.5861 0.6555 0.4281  2 Pm 2.28-2.31, 2 Gd 2.31-2.44, 1 H 2.31
H: 0.9139 0.8420 0.5694  2 Pm 2.28-2.31, 2 Gd 2.31-2.44, 1 H 2.31
H: 0.7727 0.3420 0.9281  2 Pm 2.28-2.31, 2 Gd 2.31-2.44, 1 H 2.31
H: 0.4139 0.3445 0.5719  2 Pm 2.28-2.31, 2 Gd 2.31-2.44, 1 H 2.31
H: 0.0861 0.1580 0.4306  2 Pm 2.28-2.31, 2 Gd 2.31-2.44, 1 H 2.31
H: 0.2273 0.6580 0.0719  2 Pm 2.28-2.31, 2 Gd 2.31-2.44, 1 H 2.31
H: 0.1580 0.0719 0.7273  2 Pm 2.28-2.31, 2 Gd 2.31-2.44, 1 H 2.31
H: 0.6555 0.0694 0.2273  2 Pm 2.28-2.31, 2 Gd 2.31-2.44, 1 H 2.31
H: 0.8445 0.5719 0.9139  2 Pm 2.28-2.31, 2 Gd 2.31-2.44, 1 H 2.31
H: 0.5694 0.3420 0.9139  2 Pm 2.28-2.31, 2 Gd 2.31-2.44, 1 H 2.31
H: 0.5719 0.8445 0.4139  2 Pm 2.28-2.31, 2 Gd 2.31-2.44, 1 H 2.31
H: 0.9281 0.8420 0.7727  2 Pm 2.28-2.31, 2 Gd 2.31-2.44, 1 H 2.31
H: 0.9281 0.0861 0.6555  2 Pm 2.28-2.31, 2 Gd 2.31-2.44, 1 H 2.31
H: 0.8445 0.2727 0.4306  2 Pm 2.28-2.31, 2 Gd 2.31-2.44, 1 H 2.31
H: 0.1580 0.0861 0.9306  2 Pm 2.28-2.31, 2 Gd 2.31-2.44, 1 H 2.31
H: 0.6555 0.5861 0.9281  2 Pm 2.28-2.31, 2 Gd 2.31-2.44, 1 H 2.31
H: 0.4139 0.0694 0.3420  2 Pm 2.28-2.31, 2 Gd 2.31-2.44, 1 H 2.31
H: 0.2727 0.4281 0.8420  2 Pm 2.28-2.31, 2 Gd 2.31-2.44, 1 H 2.31
H: 0.2273 0.5694 0.6555  2 Pm 2.28-2.31, 2 Gd 2.31-2.44, 1 H 2.31
H: 0.9139 0.0719 0.8445  2 Pm 2.28-2.31, 2 Gd 2.31-2.44, 1 H 2.31
H: 0.6580 0.2273 0.5719  2 Pm 2.28-2.31, 2 Gd 2.31-2.44, 1 H 2.31
H: 0.4306 0.7727 0.8445  2 Pm 2.28-2.31, 2 Gd 2.31-2.44, 1 H 2.31
H: 0.0694 0.4139 0.8420  2 Pm 2.28-2.31, 2 Gd 2.31-2.44, 1 H 2.31
H: 0.4281 0.2727 0.3420  2 Pm 2.28-2.31, 2 Gd 2.31-2.44, 1 H 2.31
H: 0.0694 0.6555 0.7273  2 Pm 2.28-2.31, 2 Gd 2.31-2.44, 1 H 2.31
H: 0.6580 0.4306 0.5861  2 Pm 2.28-2.31, 2 Gd 2.31-2.44, 1 H 2.31
H: 0.2727 0.8445 0.9306  2 Pm 2.28-2.31, 2 Gd 2.31-2.44, 1 H 2.31

=====

Record 6
The following is a DFT calculation (PBE-GGA) of a relaxed GdGaCoCu crystal.

The crystal system is cubic. Its space group is F-43m (216). The value obtained for the total magnetization is 7.70 μB per cell. The value obtained for the energy of formation from the pure elements is -0.1613 eV per atom.

abc: 4.5218 4.5218 4.5218
angles: 60.00 60.00 60.00
Closest atoms and distances in Å follow each position.
Fractional coordinates of all 4 atoms:
Gd: 0.2500 0.2500 0.2500  4 Co 2.77, 4 Cu 2.77
Co: 0.0000 0.0000 0.0000  4 Gd 2.77, 4 Ga 2.77
Cu: 0.5000 0.5000 0.5000  4 Ga 2.77, 4 Gd 2.77
Ga: 0.7500 0.7500 0.7500  4 Co 2.77, 4 Cu 2.77

=====

Record 7
The following is a DFT calculation (PBE-GGA) of a relaxed Zr12Os6C crystal.

The crystal system is trigonal. Its space group is R-3 (148). The value obtained for the total magnetization is 0.00 μB per cell. The value obtained for the energy of formation from the pure elements is -0.1127 eV per atom.

abc: 7.6003 7.6003 7.6003
angles: 99.55 99.55 99.55
Closest atoms and distances in Å follow each position.
Fractional coordinates of all 19 atoms:
Zr: 0.8273 0.5733 0.4170  4 Os 2.59-2.81
Zr: 0.4170 0.8273 0.5733  4 Os 2.59-2.81
Zr: 0.5733 0.4170 0.8273  4 Os 2.59-2.81
Zr: 0.1727 0.4267 0.5830  4 Os 2.59-2.81
Zr: 0.5830 0.1727 0.4267  4 Os 2.59-2.81
Zr: 0.4267 0.5830 0.1727  4 Os 2.59-2.81
Zr: 0.0662 0.9588 0.3059  1 C 2.38
Zr: 0.0412 0.6941 0.9338  1 C 2.38
Zr: 0.6941 0.9338 0.0412  1 C 2.38
Zr: 0.9338 0.0412 0.6941  1 C 2.38
Zr: 0.9588 0.3059 0.0662  1 C 2.38
Zr: 0.3059 0.0662 0.9588  1 C 2.38
Os: 0.7032 0.8661 0.3819  6 Zr 2.59-2.81
Os: 0.6181 0.2968 0.1339  6 Zr 2.59-2.81
Os: 0.1339 0.6181 0.2968  6 Zr 2.59-2.81
Os: 0.2968 0.1339 0.6181  6 Zr 2.59-2.81
Os: 0.3819 0.7032 0.8661  6 Zr 2.59-2.81
Os: 0.8661 0.3819 0.7032  6 Zr 2.59-2.81
C: 0.0000 0.0000 0.0000  6 Zr 2.38

=====

Record 8
The following is a DFT calculation (PBE-GGA) of a relaxed Sr6As2PbI3 crystal.

The crystal system is monoclinic. Its space group is C2/m (12). The total energy is -3.56 eV/atom. The value obtained for the total magnetization is 0.02 μB per cell.

abc: 4.5467 9.9164 10.8483
angles: 104.04 102.10 90.00
Closest atoms and distances in Å follow each position.
Fractional coordinates of all 12 atoms:
Sr: 0.3372 0.8738 0.6745  2 As 3.11, 1 Pb 3.37
Sr: 0.6809 0.5595 0.3617  3 As 3.10
Sr: 0.6628 0.1262 0.3255  2 As 3.11, 1 Pb 3.37
Sr: 0.0187 0.2514 0.0374  1 As 3.08, 2 Pb 3.32, 2 I 3.45
Sr: 0.9813 0.7486 0.9626  1 As 3.08, 2 Pb 3.32, 2 I 3.45
Sr: 0.3191 0.4405 0.6383  3 As 3.10
As: 0.8314 0.6575 0.6627  6 Sr 3.08-3.11
As: 0.1686 0.3425 0.3373  6 Sr 3.08-3.11
Pb: 0.5000 0.0000 0.0000  6 Sr 3.32-3.37
I: 0.5000 0.5000 0.0000  6 Sr 3.45-3.73
I: 0.8314 0.1685 0.6629  6 Sr 3.50-3.85
I: 0.1686 0.8315 0.3371  6 Sr 3.50-3.85